No. 1
The following is a PBE calculation of crystalline Ba2NaLiCa at its relaxed geometry, from Alexandria via LeMat-Bulk.

a = 6.587 Å, b = 6.587 Å, c = 6.155 Å
α = 90.00°, β = 90.00°, γ = 90.00°
Element x y z (fractional)
Ba 0.000 0.500 0.000
Ba 0.500 0.000 0.000
Na 0.000 0.000 0.500
Li 0.500 0.500 0.000
Ca 0.500 0.500 0.500

Output
- E_form: 18.2 kJ/mol of atoms
- Raw total energy: -1.627 eV per atom
- Crystal system: tetragonal
- DOS at the Fermi energy: 0.99 states/eV per atom

No. 2
The following is a PBE calculation of crystalline BaZn5Ga7 at its relaxed geometry, from Alexandria via LeMat-Bulk.

a = 7.279 Å, b = 7.279 Å, c = 7.279 Å
α = 136.30°, β = 97.90°, γ = 98.03°
Element x y z (fractional)
Ba 0.000 0.000 0.000
Zn 0.004 0.000 0.503
Zn 0.004 0.501 0.004
Zn 0.229 0.729 0.500
Zn 0.497 0.000 0.996
Zn 0.497 0.501 0.497
Ga 0.220 0.501 0.719
Ga 0.356 0.356 0.000
Ga 0.358 0.002 0.356
Ga 0.643 0.643 0.000
Ga 0.646 0.002 0.644
Ga 0.779 0.279 0.500
Ga 0.782 0.501 0.281

Output
- E_form: -10.3 kJ/mol of atoms
- Raw total energy: -2.375 eV per atom
- Crystal system: orthorhombic
- DOS at the Fermi energy: 0.30 states/eV per atom

No. 3
The following is a PBE calculation of crystalline V3Cr2Ga at its relaxed geometry, from Alexandria via LeMat-Bulk.

a = 2.989 Å, b = 2.989 Å, c = 8.704 Å
α = 90.00°, β = 90.00°, γ = 90.00°
Element x y z (fractional)
V 0.000 0.000 0.000
V 0.000 0.000 0.317
V 0.000 0.000 0.683
Cr 0.500 0.500 0.169
Cr 0.500 0.500 0.831
Ga 0.500 0.500 0.500

Output
- E_form: -12.8 kJ/mol of atoms
- Raw total energy: -8.405 eV per atom
- Crystal system: tetragonal
- DOS at the Fermi energy: 0.57 states/eV per atom

Spin magnetization readings, ordered: 0.00, 0.00, 0.00 μB per atom